## one
Compound: BaCaNi
Source: the Alexandria database
Functional: PBE
Structure: optimized geometry

Cell lengths 4.197, 6.208, 8.471 Å; angles 80.50, 75.87, 89.99 degrees
Space group P-1 (No. 2)
Inequivalent atoms, fractional coordinates:
Ba: 0.093 0.293 0.320 x2
Ca: 0.321 0.180 0.856 x2
Ni: 0.262 0.603 0.977 x2

Total magnetization   0.000 μB per cell
DOS(E_F)   0.84 states/eV per atom



## two
Compound: BaCaNi
Source: the Alexandria database
Functional: PBE
Structure: optimized geometry

Cell lengths 5.227, 5.236, 14.069 Å; angles 90.00, 90.00, 90.00 degrees
Space group Fmm2 (No. 42)
Inequivalent atoms, fractional coordinates:
Ba: 0.000 0.000 0.000 x4
Ca: 0.000 0.000 0.247 x4
Ni: 0.000 0.000 0.638 x4

Total magnetization   0.000 μB per cell
DOS(E_F)   0.65 states/eV per atom



## three
Compound: BaCaNi
Source: the Alexandria database
Functional: PBE
Structure: optimized geometry

Cell lengths 14.608, 4.124, 7.618 Å; angles 90.00, 115.90, 90.00 degrees
Space group C2/m (No. 12)
Inequivalent atoms, fractional coordinates:
Ba: 0.226 0.000 0.249 x4
Ca: 0.009 0.500 0.735 x4
Ni: 0.089 0.000 0.550 x4

Total magnetization   0.000 μB per cell
DOS(E_F)   0.81 states/eV per atom



## four
Compound: BaCaNi
Source: the Alexandria database
Functional: PBE
Structure: optimized geometry

Cell lengths 5.657, 6.086, 6.532 Å; angles 105.50, 101.38, 93.55 degrees
Space group P-1 (No. 2)
Inequivalent atoms, fractional coordinates:
Ba: 0.060 0.319 0.223 x2
Ca: 0.441 0.163 0.748 x2
Ni: 0.080 0.875 0.365 x2

Total magnetization   0.000 μB per cell
DOS(E_F)   0.78 states/eV per atom



Ranking the structures above from most stable to least stable yields one, three, four, two.